A geometry-optimized Na3V24O58 structure. Source: Alexandria via LeMat-Bulk, functional PBE with a Hubbard U.

Volume ... 1077 Å³/f.u.
E ... -628.14 eV per formula unit
ρ ... 3.421 g/cm³

Cell: 7.355 10.372 14.540 Å, 78.34 82.75 89.95°
Site moments in Bohr magnetons follow the coordinates.
Atoms (fractional coordinates):
O: 0.119 0.120 0.532  -0.09
O: 0.311 0.719 0.747  -0.03
O: 0.686 0.282 0.251  -0.07
O: 0.756 0.238 0.069  -0.11
O: 0.683 0.634 0.264  -0.01
O: 0.231 0.490 0.107  -0.01
O: 0.339 0.983 0.670  -0.02
O: 0.881 0.878 0.467  -0.12
O: 0.276 0.506 0.895  -0.01
O: 0.657 0.025 0.335  -0.01
O: 0.189 0.636 0.260  0.00
O: 0.587 0.844 0.610  -0.02
O: 0.043 0.910 0.797  -0.02
O: 0.668 0.365 0.408  -0.12
O: 0.395 0.614 0.409  0.00
O: 0.907 0.629 0.402  -0.01
O: 0.000 0.995 0.001  -0.06
O: 0.942 0.486 0.248  -0.01
O: 0.592 0.381 0.594  0.00
O: 0.137 0.358 0.409  -0.02
O: 0.849 0.630 0.598  -0.12
O: 0.432 0.842 0.283  -0.01
O: 0.176 0.017 0.336  -0.01
O: 0.286 0.761 0.931  -0.12
O: 0.106 0.383 0.595  -0.02
O: 0.209 0.233 0.073  -0.01
O: 0.953 0.094 0.210  -0.03
O: 0.294 0.040 0.860  -0.03
O: 0.062 0.514 0.751  -0.01
O: 0.385 0.881 0.467  -0.01
O: 0.559 0.904 0.794  -0.02
O: 0.774 0.509 0.891  -0.01
O: 0.931 0.843 0.273  -0.03
O: 0.472 0.765 0.120  -0.01
O: 0.776 0.037 0.861  -0.01
O: 0.436 0.484 0.254  -0.01
O: 0.066 0.161 0.723  -0.04
O: 0.499 0.003 0.002  -0.01
O: 0.970 0.756 0.117  -0.02
O: 0.189 0.277 0.252  -0.01
O: 0.352 0.639 0.590  -0.02
O: 0.531 0.242 0.879  -0.01
O: 0.445 0.095 0.196  -0.02
O: 0.911 0.153 0.391  -0.04
O: 0.395 0.157 0.390  -0.03
O: 0.027 0.249 0.878  -0.10
O: 0.814 0.723 0.750  -0.03
O: 0.612 0.118 0.536  -0.03
O: 0.718 0.496 0.107  -0.02
O: 0.560 0.516 0.749  -0.01
O: 0.715 0.960 0.143  -0.01
O: 0.213 0.960 0.143  -0.01
O: 0.758 0.766 0.929  -0.01
O: 0.315 0.364 0.741  -0.01
O: 0.107 0.844 0.610  -0.04
O: 0.813 0.368 0.734  -0.01
O: 0.573 0.157 0.722  -0.01
O: 0.828 0.977 0.660  -0.02
V: 0.849 0.788 0.602  1.00
V: 0.294 0.861 0.828  1.02
V: 0.089 0.022 0.643  1.02
V: 0.969 0.914 0.118  0.13
V: 0.911 0.976 0.356  1.07
V: 0.196 0.461 0.222  0.04
V: 0.151 0.205 0.397  0.13
V: 0.530 0.086 0.876  0.10
V: 0.202 0.137 0.176  0.10
V: 0.304 0.538 0.780  0.09
V: 0.652 0.211 0.395  0.99
V: 0.792 0.863 0.825  0.09
V: 0.930 0.668 0.288  0.07
V: 0.570 0.339 0.708  0.02
V: 0.696 0.461 0.222  0.17
V: 0.709 0.141 0.173  0.92
V: 0.073 0.337 0.709  0.10
V: 0.471 0.923 0.122  0.06
V: 0.587 0.023 0.646  0.13
V: 0.411 0.972 0.356  0.08
V: 0.032 0.090 0.871  0.98
V: 0.427 0.658 0.296  0.01
V: 0.348 0.787 0.608  0.10
V: 0.805 0.543 0.776  0.06
Na: 0.498 0.615 0.007  0.00
Na: 0.871 0.445 0.506  0.00
Na: 0.995 0.388 0.993  0.00